[1]
# Hg2MoPbI, relaxed, DFT PBE-GGA
# Uncorrected energy   -1.9225 eV/atom
# Calculated density   6028 kg/m3
# ΔE_f (raw)   1416 meV per atom
data_Hg2MoPbI
_cell_length_a 6.079
_cell_length_b 6.079
_cell_length_c 6.197
_cell_angle_alpha 90.00
_cell_angle_beta 90.00
_cell_angle_gamma 90.00
_space_group_name_H-M_alt 'P 4/m m m'
_space_group_IT_number 123
_space_group_name_Hall '-P 4 2'
loop_
_atom_site_label
_atom_site_type_symbol
_atom_site_fract_x
_atom_site_fract_y
_atom_site_fract_z
Hg1 Hg 0.000 0.500 0.000
Mo1 Mo 0.000 0.000 0.500
Pb1 Pb 0.500 0.500 0.500
I1 I 0.500 0.500 0.000

[2]
# HgSb2MoI, relaxed, DFT PBE-GGA
# Uncorrected energy   -3.7801 eV/atom
# Calculated density   6901 kg/m3
# ΔE_f (raw)   405 meV per atom
# ΔE to the lowest computed polymorph   0.0000 eV per atom
data_HgSb2MoI
_cell_length_a 5.206
_cell_length_b 5.206
_cell_length_c 5.921
_cell_angle_alpha 90.00
_cell_angle_beta 90.00
_cell_angle_gamma 90.00
_space_group_name_H-M_alt 'P 4/m m m'
_space_group_IT_number 123
_space_group_name_Hall '-P 4 2'
loop_
_atom_site_label
_atom_site_type_symbol
_atom_site_fract_x
_atom_site_fract_y
_atom_site_fract_z
Hg1 Hg 0.000 0.000 0.000
Sb1 Sb 0.000 0.500 0.500
Mo1 Mo 0.500 0.500 0.500
I1 I 0.500 0.500 0.000

[3]
# HgSb2MoI, relaxed, DFT PBE-GGA
# Uncorrected energy   -2.7933 eV/atom
# Calculated density   6086 kg/m3
# ΔE_f (raw)   1392 meV per atom
# ΔE to the lowest computed polymorph   0.9868 eV per atom
data_HgSb2MoI
_cell_length_a 5.494
_cell_length_b 5.494
_cell_length_c 6.028
_cell_angle_alpha 90.00
_cell_angle_beta 90.00
_cell_angle_gamma 90.00
_space_group_name_H-M_alt 'P 4/m m m'
_space_group_IT_number 123
_space_group_name_Hall '-P 4 2'
loop_
_atom_site_label
_atom_site_type_symbol
_atom_site_fract_x
_atom_site_fract_y
_atom_site_fract_z
Hg1 Hg 0.000 0.000 0.000
Sb1 Sb 0.000 0.500 0.000
Mo1 Mo 0.500 0.500 0.500
I1 I 0.000 0.000 0.500

[4]
# HgIN, relaxed, DFT PBE-GGA
# Uncorrected energy   -2.3698 eV/atom
# Calculated density   5571 kg/m3
# ΔE_f (raw)   1023 meV per atom
data_HgIN
_cell_length_a 5.057
_cell_length_b 5.538
_cell_length_c 7.336
_cell_angle_alpha 86.72
_cell_angle_beta 83.55
_cell_angle_gamma 86.91
_space_group_name_H-M_alt 'P 1'
_space_group_IT_number 1
loop_
_space_group_symop_operation_xyz
'x,y,z'
loop_
_atom_site_label
_atom_site_type_symbol
_atom_site_fract_x
_atom_site_fract_y
_atom_site_fract_z
Hg1 Hg 0.000 0.000 0.000
Hg2 Hg 0.159 0.502 0.873
I1 I 0.397 0.289 0.363
I2 I 0.753 0.761 0.505
N1 N 0.455 0.517 0.566
N2 N 0.695 0.025 0.301

[5]
# HgI4N2, relaxed, DFT PBE-GGA
# Uncorrected energy   -2.4183 eV/atom
# Calculated density   4909 kg/m3
# ΔE_f (raw)   889 meV per atom
data_HgI4N2
_cell_length_a 4.121
_cell_length_b 4.860
_cell_length_c 12.608
_cell_angle_alpha 82.85
_cell_angle_beta 83.90
_cell_angle_gamma 87.24
_space_group_name_H-M_alt 'P -1'
_space_group_IT_number 2
loop_
_space_group_symop_operation_xyz
'x,y,z'
'-x,-y,-z'
loop_
_atom_site_label
_atom_site_type_symbol
_atom_site_fract_x
_atom_site_fract_y
_atom_site_fract_z
Hg1 Hg 0.000 0.000 0.000
I1 I 0.254 0.220 0.153
I2 I 0.275 0.342 0.608
N1 N 0.351 0.431 0.397

[6]
# Hg2I3N2, relaxed, DFT PBE-GGA
# Uncorrected energy   -1.7776 eV/atom
# Calculated density   5123 kg/m3
# ΔE_f (raw)   1352 meV per atom
data_Hg2I3N2
_cell_length_a 15.263
_cell_length_b 4.267
_cell_length_c 10.551
_cell_angle_alpha 90.00
_cell_angle_beta 130.17
_cell_angle_gamma 90.00
_space_group_name_H-M_alt 'C 1 2/m 1'
_space_group_IT_number 12
loop_
_space_group_symop_operation_xyz
'x,y,z'
'-x,-y,-z'
'-x,y,-z'
'x,-y,z'
'x+1/2,y+1/2,z'
'-x+1/2,-y+1/2,-z'
'-x+1/2,y+1/2,-z'
'x+1/2,-y+1/2,z'
loop_
_atom_site_label
_atom_site_type_symbol
_atom_site_fract_x
_atom_site_fract_y
_atom_site_fract_z
Hg1 Hg 0.174 0.000 0.081
I1 I 0.000 0.500 0.000
I2 I 0.143 0.000 0.752
N1 N 0.063 0.500 0.409

[7]
# NiHgI2N, relaxed, DFT PBE-GGA
# Uncorrected energy   -2.2892 eV/atom
# Calculated density   7235 kg/m3
# ΔE_f (raw)   1213 meV per atom
# ΔE to the lowest computed polymorph   0.6936 eV per atom
data_NiHgI2N
_cell_length_a 5.288
_cell_length_b 5.288
_cell_length_c 4.326
_cell_angle_alpha 90.00
_cell_angle_beta 90.00
_cell_angle_gamma 90.00
_space_group_name_H-M_alt 'P 4/m m m'
_space_group_IT_number 123
_space_group_name_Hall '-P 4 2'
loop_
_atom_site_label
_atom_site_type_symbol
_atom_site_fract_x
_atom_site_fract_y
_atom_site_fract_z
Ni1 Ni 0.000 0.000 0.000
Hg1 Hg 0.500 0.500 0.000
I1 I 0.000 0.500 0.500
N1 N 0.500 0.500 0.500

[8]
# NiHgI2N, relaxed, DFT PBE-GGA
# Uncorrected energy   -2.9827 eV/atom
# Calculated density   7255 kg/m3
# ΔE_f (raw)   519 meV per atom
# ΔE to the lowest computed polymorph   0.0000 eV per atom
data_NiHgI2N
_cell_length_a 5.918
_cell_length_b 5.918
_cell_length_c 3.445
_cell_angle_alpha 90.00
_cell_angle_beta 90.00
_cell_angle_gamma 90.00
_space_group_name_H-M_alt 'P 4/m m m'
_space_group_IT_number 123
_space_group_name_Hall '-P 4 2'
loop_
_atom_site_label
_atom_site_type_symbol
_atom_site_fract_x
_atom_site_fract_y
_atom_site_fract_z
Ni1 Ni 0.000 0.000 0.000
Hg1 Hg 0.500 0.500 0.500
I1 I 0.000 0.500 0.000
N1 N 0.000 0.000 0.500

[9]
# HgINO2, relaxed, DFT PBE-GGA
# Uncorrected energy   -3.2623 eV/atom
# Calculated density   8335 kg/m3
# ΔE_f (raw)   756 meV per atom
data_HgINO2
_cell_length_a 4.018
_cell_length_b 4.018
_cell_length_c 4.608
_cell_angle_alpha 90.00
_cell_angle_beta 90.00
_cell_angle_gamma 90.00
_space_group_name_H-M_alt 'P 4/m m m'
_space_group_IT_number 123
_space_group_name_Hall '-P 4 2'
loop_
_atom_site_label
_atom_site_type_symbol
_atom_site_fract_x
_atom_site_fract_y
_atom_site_fract_z
Hg1 Hg 0.000 0.000 0.000
I1 I 0.500 0.500 0.500
N1 N 0.500 0.500 0.000
O1 O 0.000 0.500 0.500

[10]
# HgINO2, relaxed, DFT PBE-GGA
# Uncorrected energy   -2.5950 eV/atom
# Calculated density   4925 kg/m3
# ΔE_f (raw)   1424 meV per atom
data_HgINO2
_cell_length_a 3.989
_cell_length_b 3.989
_cell_length_c 7.915
_cell_angle_alpha 90.00
_cell_angle_beta 90.00
_cell_angle_gamma 90.00
_space_group_name_H-M_alt 'P 4/m m m'
_space_group_IT_number 123
_space_group_name_Hall '-P 4 2'
loop_
_atom_site_label
_atom_site_type_symbol
_atom_site_fract_x
_atom_site_fract_y
_atom_site_fract_z
Hg1 Hg 0.000 0.000 0.000
I1 I 0.000 0.000 0.500
N1 N 0.500 0.500 0.500
O1 O 0.000 0.500 0.000

[11]
# HgINO2, relaxed, DFT PBE-GGA
# Uncorrected energy   -2.6647 eV/atom
# Calculated density   7973 kg/m3
# ΔE_f (raw)   1354 meV per atom
data_HgINO2
_cell_length_a 4.198
_cell_length_b 4.198
_cell_length_c 4.415
_cell_angle_alpha 90.00
_cell_angle_beta 90.00
_cell_angle_gamma 90.00
_space_group_name_H-M_alt 'P 4/m m m'
_space_group_IT_number 123
_space_group_name_Hall '-P 4 2'
loop_
_atom_site_label
_atom_site_type_symbol
_atom_site_fract_x
_atom_site_fract_y
_atom_site_fract_z
Hg1 Hg 0.000 0.000 0.000
I1 I 0.500 0.500 0.500
N1 N 0.000 0.000 0.500
O1 O 0.000 0.500 0.000

[12]
# HgINO2, relaxed, DFT PBE-GGA
# Uncorrected energy   -2.6915 eV/atom
# Calculated density   8436 kg/m3
# ΔE_f (raw)   1327 meV per atom
data_HgINO2
_cell_length_a 4.152
_cell_length_b 4.152
_cell_length_c 4.265
_cell_angle_alpha 90.00
_cell_angle_beta 90.00
_cell_angle_gamma 90.00
_space_group_name_H-M_alt 'P 4/m m m'
_space_group_IT_number 123
_space_group_name_Hall '-P 4 2'
loop_
_atom_site_label
_atom_site_type_symbol
_atom_site_fract_x
_atom_site_fract_y
_atom_site_fract_z
Hg1 Hg 0.000 0.000 0.000
I1 I 0.500 0.500 0.000
N1 N 0.500 0.500 0.500
O1 O 0.000 0.500 0.500

What is the calculated density in the second record? 6901 kg/m3